[1]
Here is a relaxed BaBeAg crystal from the Alexandria database. Energies are from PBE.

* ΔH_f (0 K): 2.55 kcal/mol of atoms
* Fermi-level density of states: 1.8 states/eV/f.u.
* polymorph energy (0 for the lowest one): 39 meV/atom
* magnetic moment: 0.00 μB per formula unit

Lattice parameters (Å, degrees): 7.6515 10.3832 4.8679 90.00 122.03 90.00
Space group Cm (No. 8)
Unique sites:
1 Ba 0.0000 0.1913 0.0000
2 Be 0.1713 0.0000 0.6487
3 Be 0.4384 0.0000 0.1086
4 Ag 0.2981 0.5000 0.3374
5 Ag 0.4794 0.0000 0.6255


[2]
Here is a relaxed CeTh3Ge2 crystal from the Alexandria database. Energies are from PBE.

* ΔH_f (0 K): -11.56 kcal/mol of atoms
* Fermi-level density of states: 6.9 states/eV/f.u.
* magnetic moment: 0.00 μB per formula unit

Lattice parameters (Å, degrees): 4.3639 4.3639 8.5842 90.00 90.00 90.00
Space group P-4m2 (No. 115)
Unique sites:
1 Ce 0.0000 0.0000 0.0000
2 Th 0.0000 0.5000 0.3635
3 Th 0.5000 0.5000 0.0000
4 Ge 0.0000 0.5000 0.7287


[3]
Here is a relaxed CePuTlGe crystal from the Alexandria database. Energies are from PBE.

* ΔH_f (0 K): -7.93 kcal/mol of atoms
* Fermi-level density of states: 11.2 states/eV/f.u.
* polymorph energy (0 for the lowest one): 0 meV/atom
* magnetic moment: 6.48 μB per formula unit

Lattice parameters (Å, degrees): 3.3652 3.3652 8.8520 90.00 90.00 90.00
Space group P4mm (No. 99)
Unique sites:
1 Ce 0.0000 0.0000 0.0000
2 Pu 0.0000 0.0000 0.5550
3 Tl 0.5000 0.5000 0.2789
4 Ge 0.5000 0.5000 0.7735


[4]
Here is a relaxed NbTl2Br7 crystal from the Alexandria database. Energies are from PBE.

* formation energy from raw total energies: -763.2 meV per atom
* magnetic moment: 0.00 μB per formula unit

Lattice parameters (Å, degrees): 17.1062 8.4229 13.0173 90.00 126.58 90.00
Space group C2/c (No. 15)
Unique sites:
1 Nb 0.0000 0.2266 0.2500
2 Tl 0.1169 0.2499 0.0356
3 Br 0.0000 0.1093 0.7500
4 Br 0.0552 0.4785 0.1850
5 Br 0.0771 0.1628 0.4902
6 Br 0.1728 0.1464 0.3229


[5]
Here is a relaxed ScAl2Ag crystal from the Alexandria database. Energies are from PBE.

* ΔH_f (0 K): -8.52 kcal/mol of atoms
* Fermi-level density of states: 0.6 states/eV/f.u.
* magnetic moment: 0.00 μB per formula unit

Lattice parameters (Å, degrees): 6.7074 4.2916 10.1370 90.00 90.00 90.00
Space group Pnma (No. 62)
Unique sites:
1 Sc 0.2249 0.2500 0.1777
2 Al 0.0693 0.2500 0.8358
3 Al 0.1998 0.7500 0.9661
4 Ag 0.0531 0.7500 0.4072


[6]
Here is a relaxed Mn3VRh crystal from the Alexandria database. Energies are from PBE.

* ΔH_f (0 K): 22.66 kcal/mol of atoms
* Fermi-level density of states: 3.8 states/eV/f.u.
* polymorph energy (0 for the lowest one): 0 meV/atom
* magnetic moment: 8.43 μB per formula unit

Lattice parameters (Å, degrees): 4.3139 4.3139 4.3139 90.00 90.00 90.00
Space group Pm-3m (No. 221)
Unique sites:
1 Mn 0.0000 0.0000 0.5000
2 V 0.0000 0.0000 0.0000
3 Rh 0.5000 0.5000 0.5000


[7]
Here is a relaxed AcNiBi crystal from the Alexandria database. Energies are from PBE.

* ΔH_f (0 K): -12.78 kcal/mol of atoms
* Fermi-level density of states: 1.6 states/eV/f.u.
* polymorph energy (0 for the lowest one): 8 meV/atom
* magnetic moment: 0.00 μB per formula unit

Lattice parameters (Å, degrees): 4.5903 4.5903 4.5146 90.00 90.00 120.00
Space group P3m1 (No. 156)
Unique sites:
1 Ac 0.0000 0.0000 0.0000
2 Ni 0.3333 0.6667 0.4659
3 Bi 0.6667 0.3333 0.5004


[8]
Here is a relaxed ZnTcOs crystal from the Alexandria database. Energies are from PBE.

* ΔH_f (0 K): 1.31 kcal/mol of atoms
* Fermi-level density of states: 2.5 states/eV/f.u.
* polymorph energy (0 for the lowest one): 26 meV/atom
* magnetic moment: 0.00 μB per formula unit

Lattice parameters (Å, degrees): 2.7585 2.7585 6.6306 90.00 90.00 120.00
Space group P3m1 (No. 156)
Unique sites:
1 Zn 0.0000 0.0000 0.0000
2 Tc 0.6667 0.3333 0.3456
3 Os 0.3333 0.6667 0.6560


Q: Among the records above, which one has the highest magnetic moment?
A: Mn3VRh